Li2Mn2Si2O7 | PBE+U | relaxed

Values from the calculation:
Final energy = -94.6 eV/f.u.
Spin magnetization = 20.00 μB per cell
DOS(E_F) = 0.00 states/eV per cell

Cell lengths 13.3977, 5.0039, 5.0039 Å; angles 118.75, 90.00, 90.00 degrees
Fractional coordinates of all 26 atoms:
1 Li 0.0816 0.2028 0.7972
2 Li 0.4184 0.2028 0.7972
3 Li 0.5816 0.7972 0.2028
4 Li 0.9184 0.7972 0.2028
5 Mn 0.0000 0.4762 0.4762
6 Mn 0.2500 0.4835 0.4546
7 Mn 0.5000 0.4762 0.4762
8 Mn 0.7500 0.4546 0.4835
9 Si 0.1371 0.8526 0.1423
10 Si 0.3629 0.8526 0.1423
11 Si 0.6371 0.1423 0.8526
12 Si 0.8629 0.1423 0.8526
13 O 0.0568 0.8329 0.3746
14 O 0.1295 0.1887 0.1596
15 O 0.1338 0.5784 0.7888
16 O 0.2500 0.8311 0.2888
17 O 0.3662 0.5784 0.7888
18 O 0.3705 0.1887 0.1596
19 O 0.4432 0.8329 0.3746
20 O 0.5568 0.3746 0.8329
21 O 0.6295 0.1596 0.1887
22 O 0.6338 0.7888 0.5784
23 O 0.7500 0.2888 0.8311
24 O 0.8662 0.7888 0.5784
25 O 0.8705 0.1596 0.1887
26 O 0.9432 0.3746 0.8329